First-principles (PBE-GGA) data for a relaxed structure of Mn3B, as listed in Alexandria via LeMat-Bulk.

Electronic total energy: -8.811 eV/atom
ΔE_f: -25.5 kJ per mole of atoms
E above lowest polymorph: 0.0000 eV/atom

Lattice parameters (Å, degrees): 2.7216 4.3506 6.6265 90.00 90.00 108.23
Element x y z (fractional)
Mn  0.8647  0.7295  0.4503
Mn  0.4325  0.8650  0.7500
Mn  0.8647  0.7295  0.0497
Mn  0.1353  0.2705  0.9503
Mn  0.1353  0.2705  0.5497
Mn  0.5675  0.1350  0.2500
B  0.2639  0.5279  0.2500
B  0.7361  0.4721  0.7500